This record from Alexandria via LeMat-Bulk describes crystalline LiGdAu4 at its relaxed geometry. The functional is GGA-PBE.

Computed properties:
- Space group: F-43m
- Formation energy from the elements: -2.94 eV per formula unit

a = 5.571 Å, b = 5.571 Å, c = 5.571 Å
α = 60.00°, β = 60.00°, γ = 60.00°
Fractional positions:
Li 0.000 0.000 0.000
Gd 0.750 0.750 0.750
Au 0.374 0.374 0.374
Au 0.374 0.374 0.877
Au 0.374 0.877 0.374
Au 0.877 0.374 0.374